Density functional theory data (PBE) for an optimized crystal structure of Y2Pd3.

The space group is R-3m (No. 166, hexagonal axes) and the conventional cell measures 4.4417, 4.4417 and 19.5313 Å, with angles of 90.00, 90.00 and 120.00 degrees. The asymmetric unit holds Y at (0.0000, 0.0000, 0.0903), Pd at (0.0000, 0.0000, 0.3539) and Pd at (0.0000, 0.0000, 0.5000).

The calculation puts the calculated total energy at -96.82 eV per cell. The value obtained for the formation energy is -754 meV/atom.

---

Density functional theory data (PBE) for an optimized crystal structure of YPd.

The space group is Pm-3n (No. 223) and the conventional cell measures 7.820, 7.820 and 7.820 Å, with angles of 90.00, 90.00 and 90.00 degrees. The asymmetric unit holds Y at (0.000, 0.250, 0.500) and Pd at (0.000, 0.500, 0.250).

The calculation puts the calculated total energy at -69.43 eV per cell. The value obtained for the formation energy is 43 meV/atom.

---

Density functional theory data (PBE) for an optimized crystal structure of Y5Pd3.

The space group is P4/ncc (No. 130, origin choice 2) and the conventional cell measures 11.192, 11.192 and 6.414 Å, with angles of 90.00, 90.00 and 90.00 degrees. The asymmetric unit holds Y at (0.041, 0.161, 0.129), Y at (0.250, 0.750, 0.000), Pd at (0.095, 0.595, 0.750) and Pd at (0.250, 0.250, 0.386).

The calculation puts the calculated total energy at -213.44 eV per cell. The value obtained for the formation energy is -683 meV/atom.

---

Density functional theory data (PBE) for an optimized crystal structure of YPd.

The space group is Fddd (No. 70, origin choice 2) and the conventional cell measures 7.470, 8.910 and 11.319 Å, with angles of 90.00, 90.00 and 90.00 degrees. The asymmetric unit holds Y at (0.125, 0.336, 0.125) and Pd at (0.070, 0.375, 0.875).

The calculation puts the calculated total energy at -210.54 eV per cell. The value obtained for the formation energy is -751 meV/atom.

---

Density functional theory data (PBE) for an optimized crystal structure of YPd.

The space group is P2_12_12_1 (No. 19) and the conventional cell measures 5.565, 5.740 and 11.231 Å, with angles of 90.00, 90.00 and 90.00 degrees. The asymmetric unit holds Y at (0.156, 0.069, 0.022), Y at (0.168, 0.634, 0.803), Pd at (0.166, 0.866, 0.274) and Pd at (0.171, 0.572, 0.065).

The calculation puts the calculated total energy at -106.43 eV per cell. The value obtained for the formation energy is -824 meV/atom.

---

Density functional theory data (PBE) for an optimized crystal structure of Y3Pd2.

The space group is C2/m (No. 12) and the conventional cell measures 18.173, 4.210 and 10.731 Å, with angles of 90.00, 97.96 and 90.00 degrees. The asymmetric unit holds Y at (0.000, 0.000, 0.000), Y at (0.038, 0.000, 0.658), Y at (0.124, 0.500, 0.275), Y at (0.171, 0.500, 0.952), Y at (0.208, 0.500, 0.615), Pd at (0.027, 0.500, 0.827), Pd at (0.133, 0.000, 0.462) and Pd at (0.188, 0.000, 0.139).

The calculation puts the calculated total energy at -197.24 eV per cell. The value obtained for the polymorph energy (0 for the lowest one) is 10.4 kJ per mole of atoms. The value obtained for the formation energy is -619 meV/atom.

---

Density functional theory data (PBE) for an optimized crystal structure of YbYPd2.

The space group is Fm-3m (No. 225) and the conventional cell measures 7.009, 7.009 and 7.009 Å, with angles of 90.00, 90.00 and 90.00 degrees. The asymmetric unit holds Yb at (0.000, 0.000, 0.000), Y at (0.000, 0.000, 0.500) and Pd at (0.250, 0.250, 0.250).

The calculation puts the calculated total energy at -86.97 eV per cell. The value obtained for the formation energy is -842 meV/atom.

---

Density functional theory data (PBE) for an optimized crystal structure of YZn5Pd7.

The space group is Imm2 (No. 44) and the conventional cell measures 5.247, 8.870 and 8.837 Å, with angles of 90.00, 90.00 and 90.00 degrees. The asymmetric unit holds Y at (0.000, 0.000, 0.000), Zn at (0.000, 0.500, 0.738), Zn at (0.247, 0.252, 0.261), Pd at (0.000, 0.000, 0.348), Pd at (0.000, 0.000, 0.662), Pd at (0.000, 0.295, 0.516), Pd at (0.000, 0.342, 0.005) and Pd at (0.000, 0.500, 0.284).

The calculation puts the calculated total energy at -112.74 eV per cell. The value obtained for the formation energy is -553 meV/atom.

---

- Which of these has the lowest calculated total energy?
  Y5Pd3

---

- Number 5 is which compound?
  YPd

---

- Which of these has the lowest calculated total energy?
  Y5Pd3

---

- What is the formula in the second record?
  YPd